Below is an optimized crystal structure of Sr2MgSb3Pd4, with properties calculated at the GGA-PBE level.

The structure in POSCAR format:
```
Sr2MgSb3Pd4
1.0
4.628 0.000 0.000
0.000 4.628 0.000
0.000 0.000 10.854
Pd Sb Sr Mg
4 3 2 1
Direct
0.500 0.500 0.000
0.500 0.000 0.627
0.000 0.500 0.373
0.000 0.000 0.000
0.000 0.000 0.500
0.500 0.000 0.870
0.000 0.500 0.130
0.000 0.500 0.761
0.500 0.000 0.239
0.500 0.500 0.500
```

Total DFT energy (no corrections) in eV per cell: -46.155
Formation energy without anion corrections in kJ per mole of atoms: -77.8
V in Å³/f.u.: 232.47